First-principles (GGA+U) data for a relaxed structure of BeV2SiF, as listed in Alexandria.

The space group is P4/mmm (No. 123) and the conventional cell measures 4.651, 4.651 and 3.857 Å, with angles of 90.00, 90.00 and 90.00 degrees. The distinct sites, in fractional coordinates, are Be at (0.000, 0.000, 0.000), V at (0.000, 0.500, 0.000), Si at (0.000, 0.000, 0.500) and F at (0.500, 0.500, 0.500).

As for the density of states at the Fermi level: 1.7 states/eV/f.u. The volume is 83 Å³/cell. Its crystal system is tetragonal. As for the calculated total energy: -4.690 eV/atom.